# 1
Compound: Tb2PtF
Source: Alexandria via LeMat-Bulk
Functional: PBE
Structure: optimized geometry

Calculated values
Magnetic moment   0.00 μB per formula unit
Density of states at the Fermi level   0.35 states/eV/atom
Density   7.8 g/cm³
Uncorrected formation energy   -1957 meV/atom
Energy   -25.00 eV per formula unit

a = 4.2491 Å, b = 4.2491 Å, c = 21.7408 Å
α = 90.00°, β = 90.00°, γ = 120.00°
Space group R-3m (No. 166, hexagonal axes)
Asymmetric unit:
Tb1 0.0000 0.0000 0.1016 x6
Pt1 0.0000 0.0000 0.5000 x3
F1 0.0000 0.0000 0.0000 x3

# 2
Compound: TcPt3F
Source: Alexandria via LeMat-Bulk
Functional: PBE
Structure: optimized geometry

Calculated values
Magnetic moment   4.04 μB per formula unit
Density of states at the Fermi level   0.87 states/eV/atom
Density   14.1 g/cm³
Uncorrected formation energy   962 meV/atom
Energy relative to the lowest polymorph listed for this composition   0.0000 eV/atom
Energy   -25.55 eV per formula unit

a = 4.356 Å, b = 4.356 Å, c = 4.356 Å
α = 90.00°, β = 90.00°, γ = 90.00°
Space group Pm-3m (No. 221)
Asymmetric unit:
Tc1 0.000 0.000 0.000 x1
Pt1 0.000 0.500 0.500 x3
F1 0.500 0.500 0.500 x1

# 3
Compound: Tc2PtF
Source: Alexandria via LeMat-Bulk
Functional: PBE
Structure: optimized geometry

Calculated values
Magnetic moment   0.00 μB per formula unit
Density of states at the Fermi level   1.06 states/eV/atom
Density   12.2 g/cm³
Uncorrected formation energy   146 meV/atom
Energy relative to the lowest polymorph listed for this composition   0.0000 eV/atom
Energy   -28.06 eV per formula unit

a = 6.065 Å, b = 6.065 Å, c = 6.065 Å
α = 90.00°, β = 90.00°, γ = 90.00°
Space group Fm-3m (No. 225)
Asymmetric unit:
Tc1 0.250 0.250 0.250 x8
Pt1 0.000 0.000 0.000 x4
F1 0.000 0.000 0.500 x4

# 4
Compound: TcPt3F
Source: Alexandria via LeMat-Bulk
Functional: PBE
Structure: optimized geometry

Calculated values
Magnetic moment   0.00 μB per formula unit
Density of states at the Fermi level   0.98 states/eV/atom
Density   10.7 g/cm³
Uncorrected formation energy   1161 meV/atom
Energy relative to the lowest polymorph listed for this composition   0.1993 eV/atom
Energy   -24.55 eV per formula unit

a = 4.780 Å, b = 4.780 Å, c = 4.780 Å
α = 90.00°, β = 90.00°, γ = 90.00°
Space group Pm-3m (No. 221)
Asymmetric unit:
Tc1 0.000 0.000 0.000 x1
Pt1 0.000 0.000 0.500 x3
F1 0.500 0.500 0.500 x1

# 5
Compound: Tc2PtF
Source: Alexandria via LeMat-Bulk
Functional: PBE
Structure: optimized geometry

Calculated values
Magnetic moment   0.00 μB per formula unit
Density of states at the Fermi level   1.60 states/eV/atom
Density   12.1 g/cm³
Uncorrected formation energy   267 meV/atom
Energy relative to the lowest polymorph listed for this composition   0.1217 eV/atom
Energy   -27.57 eV per formula unit

a = 6.510 Å, b = 6.510 Å, c = 5.321 Å
α = 90.00°, β = 90.00°, γ = 90.00°
Space group I-42d (No. 122)
Asymmetric unit:
Tc1 0.198 0.250 0.125 x8
Pt1 0.000 0.000 0.500 x4
F1 0.000 0.000 0.000 x4

# 6
Compound: TcPt2F2
Source: Alexandria via LeMat-Bulk
Functional: PBE
Structure: optimized geometry

Calculated values
Magnetic moment   1.78 μB per formula unit
Density of states at the Fermi level   1.03 states/eV/atom
Density   12.8 g/cm³
Uncorrected formation energy   328 meV/atom
Energy relative to the lowest polymorph listed for this composition   0.2174 eV/atom
Energy   -24.55 eV per formula unit

a = 7.139 Å, b = 7.139 Å, c = 2.668 Å
α = 90.00°, β = 90.00°, γ = 90.00°
Space group P4/mbm (No. 127)
Asymmetric unit:
Tc1 0.000 0.000 0.000 x2
Pt1 0.194 0.306 0.500 x4
F1 0.112 0.612 0.000 x4

# 7
Compound: TcPt2F2
Source: Alexandria via LeMat-Bulk
Functional: PBE
Structure: optimized geometry

Calculated values
Magnetic moment   0.83 μB per formula unit
Density of states at the Fermi level   0.70 states/eV/atom
Density   12.3 g/cm³
Uncorrected formation energy   111 meV/atom
Energy relative to the lowest polymorph listed for this composition   0.0000 eV/atom
Energy   -25.64 eV per formula unit

a = 4.871 Å, b = 4.871 Å, c = 5.982 Å
α = 90.00°, β = 90.00°, γ = 90.00°
Space group I4/mmm (No. 139)
Asymmetric unit:
Tc1 0.000 0.000 0.000 x2
Pt1 0.000 0.500 0.250 x4
F1 0.000 0.000 0.329 x4

# 8
Compound: TePtF2
Source: Alexandria via LeMat-Bulk
Functional: PBE
Structure: optimized geometry

Calculated values
Magnetic moment   0.00 μB per formula unit
Density of states at the Fermi level   0.34 states/eV/atom
Density   10.1 g/cm³
Uncorrected formation energy   -265 meV/atom
Energy relative to the lowest polymorph listed for this composition   0.3590 eV/atom
Energy   -13.99 eV per formula unit

a = 6.185 Å, b = 6.185 Å, c = 6.185 Å
α = 90.00°, β = 90.00°, γ = 90.00°
Space group Fm-3m (No. 225)
Asymmetric unit:
Te1 0.000 0.000 0.000 x4
Pt1 0.000 0.000 0.500 x4
F1 0.250 0.250 0.250 x8

# 9
Compound: TePtF
Source: Alexandria via LeMat-Bulk
Functional: PBE
Structure: optimized geometry

Calculated values
Magnetic moment   0.00 μB per formula unit
Density of states at the Fermi level   0.42 states/eV/atom
Density   9.3 g/cm³
Uncorrected formation energy   -715 meV/atom
Energy relative to the lowest polymorph listed for this composition   0.1780 eV/atom
Energy   -13.20 eV per formula unit

a = 3.634 Å, b = 3.953 Å, c = 4.758 Å
α = 93.96°, β = 90.46°, γ = 116.39°
Space group P1 (No. 1)
Asymmetric unit:
Te1 0.000 0.000 0.000 x1
Pt1 0.685 0.376 0.274 x1
F1 0.292 0.573 0.555 x1

# 10
Compound: TePt2F
Source: Alexandria via LeMat-Bulk
Functional: PBE
Structure: optimized geometry

Calculated values
Magnetic moment   0.00 μB per formula unit
Density of states at the Fermi level   0.66 states/eV/atom
Density   12.9 g/cm³
Uncorrected formation energy   -202 meV/atom
Energy relative to the lowest polymorph listed for this composition   0.0263 eV/atom
Energy   -17.90 eV per formula unit

a = 7.016 Å, b = 7.016 Å, c = 5.618 Å
α = 90.00°, β = 90.00°, γ = 90.00°
Space group I-42d (No. 122)
Asymmetric unit:
Te1 0.000 0.000 0.000 x4
Pt1 0.239 0.250 0.625 x8
F1 0.000 0.000 0.500 x4